(1)
Below is a geometry-optimized TbPuGe2O8 structure, with properties calculated at the PBE level.

The raw formation energy is -2333 meV/atom. As for the space group: I-4m2.

abc: 5.9493 5.9493 5.9493
angles: 107.14 107.14 114.23
Fractional coordinates of all 12 atoms:
Tb (0.0000, 0.0000, 0.0000)
Pu (0.2500, 0.7500, 0.5000)
Ge (0.5000, 0.5000, 0.0000)
Ge (0.7500, 0.2500, 0.5000)
O (0.3186, 0.1298, 0.8112)
O (0.3186, 0.5074, 0.1888)
O (0.3800, 0.0608, 0.3192)
O (0.4926, 0.6814, 0.8112)
O (0.7415, 0.0608, 0.6808)
O (0.8702, 0.6814, 0.1888)
O (0.9392, 0.2585, 0.3192)
O (0.9392, 0.6200, 0.6808)

=====

(2)
Below is a geometry-optimized DyB2F8 structure, with properties calculated at the PBE level.

The raw formation energy is -2883 meV/atom. As for the space group: C2/m.

abc: 5.3891 5.3891 5.9217
angles: 109.66 109.66 56.01
Fractional coordinates of all 11 atoms:
Dy (0.0000, 0.0000, 0.0000)
B (0.1937, 0.1937, 0.6921)
B (0.8063, 0.8063, 0.3079)
F (0.0960, 0.6504, 0.2416)
F (0.1598, 0.1598, 0.4377)
F (0.3496, 0.9040, 0.7584)
F (0.3545, 0.3545, 0.8186)
F (0.6455, 0.6455, 0.1814)
F (0.6504, 0.0960, 0.2416)
F (0.8402, 0.8402, 0.5623)
F (0.9040, 0.3496, 0.7584)

=====

(3)
Below is a geometry-optimized MnCuTe2 structure, with properties calculated at the PBE level.

The raw formation energy is 264 meV/atom. As for the space group: I-4m2.

abc: 6.9150 6.9150 6.9150
angles: 147.64 147.64 46.42
Fractional coordinates of all 4 atoms:
Mn (0.0000, 0.0000, 0.0000)
Cu (0.7500, 0.2500, 0.5000)
Te (0.2500, 0.7500, 0.5000)
Te (0.5000, 0.5000, 0.0000)

=====

(4)
Below is a geometry-optimized NiTe6Pd2 structure, with properties calculated at the PBE level.

The raw formation energy is -83 meV/atom. The value obtained for the energy above the most stable polymorph in this dataset is 0.1655 eV per atom. As for the space group: P4_2/mnm.

abc: 6.1804 6.1804 12.4337
angles: 90.00 90.00 90.00
Fractional coordinates of all 18 atoms:
Ni (0.0000, 0.0000, 0.0000)
Ni (0.5000, 0.5000, 0.5000)
Te (0.1877, 0.1877, 0.1589)
Te (0.1877, 0.1877, 0.8411)
Te (0.2041, 0.2041, 0.5000)
Te (0.2959, 0.7041, 0.0000)
Te (0.3123, 0.6877, 0.3411)
Te (0.3123, 0.6877, 0.6589)
Te (0.6877, 0.3123, 0.3411)
Te (0.6877, 0.3123, 0.6589)
Te (0.7041, 0.2959, 0.0000)
Te (0.7959, 0.7959, 0.5000)
Te (0.8123, 0.8123, 0.1589)
Te (0.8123, 0.8123, 0.8411)
Pd (0.0000, 0.0000, 0.3339)
Pd (0.0000, 0.0000, 0.6661)
Pd (0.5000, 0.5000, 0.1661)
Pd (0.5000, 0.5000, 0.8339)

=====

(5)
Below is a geometry-optimized TaSn3Pt structure, with properties calculated at the PBE level.

The value obtained for the energy above the most stable polymorph in this dataset is 0.0234 eV per atom. The value obtained for the calculated formation energy is 0.92 eV per atom. As for the space group: Pm-3m.

abc: 5.1364 5.1364 5.1364
angles: 90.00 90.00 90.00
Fractional coordinates of all 5 atoms:
Ta (0.0000, 0.0000, 0.0000)
Sn (0.0000, 0.5000, 0.5000)
Sn (0.5000, 0.0000, 0.5000)
Sn (0.5000, 0.5000, 0.0000)
Pt (0.5000, 0.5000, 0.5000)